Compound: TbGdF
Source: Alexandria
Functional: GGA-PBE
Structure: relaxed

The structure in CIF format:
```
data_TbGdF
_chemical_formula_sum 'Tb1 Gd1 F1'
_symmetry_space_group_name_H-M 'P 3 m 1'
_symmetry_Int_Tables_number 156
_symmetry_space_group_name_Hall 'P 3 -2"'
_cell_length_a 3.7459
_cell_length_b 3.7459
_cell_length_c 5.6487
_cell_angle_alpha 90.00
_cell_angle_beta 90.00
_cell_angle_gamma 120.00
loop_
_atom_site_label
_atom_site_fract_x
_atom_site_fract_y
_atom_site_fract_z
Tb1 0.0000 0.0000 0.0000
Gd1 0.3333 0.6667 0.5076
F1 0.6667 0.3333 0.2498
```

Summary:
The density of states at the Fermi level is 2.85 states/eV/f.u.

---

Compound: TbGd2F
Source: Alexandria
Functional: GGA-PBE
Structure: relaxed

The structure in CIF format:
```
data_TbGd2F
_chemical_formula_sum 'Tb3 Gd6 F3'
_symmetry_space_group_name_H-M 'R -3 m'
_symmetry_Int_Tables_number 166
_symmetry_space_group_name_Hall '-R 3 2"'
_cell_length_a 3.7151
_cell_length_b 3.7151
_cell_length_c 25.8121
_cell_angle_alpha 90.00
_cell_angle_beta 90.00
_cell_angle_gamma 120.00
loop_
_atom_site_label
_atom_site_fract_x
_atom_site_fract_y
_atom_site_fract_z
Tb1 0.0000 0.0000 0.0000
Gd1 0.0000 0.0000 0.2235
F1 0.0000 0.0000 0.5000
```

Summary:
The density of states at the Fermi level is 4.51 states/eV/f.u.

---

Compound: TbGd3F
Source: Alexandria
Functional: GGA-PBE
Structure: relaxed

The structure in CIF format:
```
data_TbGd3F
_chemical_formula_sum 'Tb1 Gd3 F1'
_symmetry_space_group_name_H-M 'P m -3 m'
_symmetry_Int_Tables_number 221
_symmetry_space_group_name_Hall '-P 4 2 3'
_cell_length_a 5.0979
_cell_length_b 5.0979
_cell_length_c 5.0979
_cell_angle_alpha 90.00
_cell_angle_beta 90.00
_cell_angle_gamma 90.00
loop_
_atom_site_label
_atom_site_fract_x
_atom_site_fract_y
_atom_site_fract_z
Tb1 0.0000 0.0000 0.0000
Gd1 0.0000 0.5000 0.5000
F1 0.5000 0.5000 0.5000
```

Summary:
The density of states at the Fermi level is 6.77 states/eV/f.u.

---

Compound: Gd2TeF
Source: Alexandria
Functional: GGA-PBE
Structure: relaxed

The structure in CIF format:
```
data_Gd2TeF
_chemical_formula_sum 'Gd6 Te3 F3'
_symmetry_space_group_name_H-M 'R -3 m'
_symmetry_Int_Tables_number 166
_symmetry_space_group_name_Hall '-R 3 2"'
_cell_length_a 4.1117
_cell_length_b 4.1117
_cell_length_c 25.1308
_cell_angle_alpha 90.00
_cell_angle_beta 90.00
_cell_angle_gamma 120.00
loop_
_atom_site_label
_atom_site_fract_x
_atom_site_fract_y
_atom_site_fract_z
Gd1 0.0000 0.0000 0.0880
Te1 0.0000 0.0000 0.5000
F1 0.0000 0.0000 0.0000
```

Summary:
The density of states at the Fermi level is 5.24 states/eV/f.u.

---

Compound: GdTeF
Source: Alexandria
Functional: GGA-PBE
Structure: relaxed

The structure in CIF format:
```
data_GdTeF
_chemical_formula_sum 'Gd1 Te1 F1'
_symmetry_space_group_name_H-M 'P -6 m 2'
_symmetry_Int_Tables_number 187
_symmetry_space_group_name_Hall 'P -6 2'
_cell_length_a 4.1656
_cell_length_b 4.1656
_cell_length_c 4.4033
_cell_angle_alpha 90.00
_cell_angle_beta 90.00
_cell_angle_gamma 120.00
loop_
_atom_site_label
_atom_site_fract_x
_atom_site_fract_y
_atom_site_fract_z
Gd1 0.0000 0.0000 0.0000
Te1 0.3333 0.6667 0.5000
F1 0.6667 0.3333 0.0000
```

---

Compound: GdTeF
Source: Alexandria
Functional: GGA-PBE
Structure: relaxed

The structure in CIF format:
```
data_GdTeF
_chemical_formula_sum 'Gd2 Te2 F2'
_symmetry_space_group_name_H-M 'I 4 m m'
_symmetry_Int_Tables_number 107
_symmetry_space_group_name_Hall 'I 4 -2'
_cell_length_a 3.5664
_cell_length_b 3.5664
_cell_length_c 10.5475
_cell_angle_alpha 90.00
_cell_angle_beta 90.00
_cell_angle_gamma 90.00
loop_
_atom_site_label
_atom_site_fract_x
_atom_site_fract_y
_atom_site_fract_z
Gd1 0.0000 0.0000 0.0000
Te1 0.0000 0.0000 0.3097
F1 0.0000 0.0000 0.5810
```

Summary:
The density of states at the Fermi level is 2.13 states/eV/f.u.

---

Compound: Gd2ThF
Source: Alexandria
Functional: GGA-PBE
Structure: relaxed

The structure in CIF format:
```
data_Gd2ThF
_chemical_formula_sum 'Gd6 Th3 F3'
_symmetry_space_group_name_H-M 'R -3 m'
_symmetry_Int_Tables_number 166
_symmetry_space_group_name_Hall '-R 3 2"'
_cell_length_a 3.6443
_cell_length_b 3.6443
_cell_length_c 26.2379
_cell_angle_alpha 90.00
_cell_angle_beta 90.00
_cell_angle_gamma 120.00
loop_
_atom_site_label
_atom_site_fract_x
_atom_site_fract_y
_atom_site_fract_z
Gd1 0.0000 0.0000 0.2282
Th1 0.0000 0.0000 0.0000
F1 0.0000 0.0000 0.5000
```

Summary:
The density of states at the Fermi level is 3.58 states/eV/f.u.

---

Compound: Gd2TlF
Source: Alexandria
Functional: GGA-PBE
Structure: relaxed

The structure in CIF format:
```
data_Gd2TlF
_chemical_formula_sum 'Gd2 Tl1 F1'
_symmetry_space_group_name_H-M 'P 4/m m m'
_symmetry_Int_Tables_number 123
_symmetry_space_group_name_Hall '-P 4 2'
_cell_length_a 3.3892
_cell_length_b 3.3892
_cell_length_c 8.0642
_cell_angle_alpha 90.00
_cell_angle_beta 90.00
_cell_angle_gamma 90.00
loop_
_atom_site_label
_atom_site_fract_x
_atom_site_fract_y
_atom_site_fract_z
Gd1 0.0000 0.0000 0.2259
Tl1 0.5000 0.5000 0.5000
F1 0.5000 0.5000 0.0000
```

Summary:
The density of states at the Fermi level is 5.76 states/eV/f.u. Its energy above the most stable polymorph in this dataset is 206.6 meV/atom.

---

Compound: Gd2TlF
Source: Alexandria
Functional: GGA-PBE
Structure: relaxed

The structure in CIF format:
```
data_Gd2TlF
_chemical_formula_sum 'Gd6 Tl3 F3'
_symmetry_space_group_name_H-M 'R -3 m'
_symmetry_Int_Tables_number 166
_symmetry_space_group_name_Hall '-R 3 2"'
_cell_length_a 3.7855
_cell_length_b 3.7855
_cell_length_c 23.0231
_cell_angle_alpha 90.00
_cell_angle_beta 90.00
_cell_angle_gamma 120.00
loop_
_atom_site_label
_atom_site_fract_x
_atom_site_fract_y
_atom_site_fract_z
Gd1 0.0000 0.0000 0.2277
Tl1 0.0000 0.0000 0.0000
F1 0.0000 0.0000 0.5000
```

Summary:
The density of states at the Fermi level is 2.47 states/eV/f.u. Its energy above the most stable polymorph in this dataset is 0.0 meV/atom.

---

Compound: GdTl2F4
Source: Alexandria
Functional: GGA-PBE
Structure: relaxed

The structure in CIF format:
```
data_GdTl2F4
_chemical_formula_sum 'Gd2 Tl4 F8'
_symmetry_space_group_name_H-M 'I 4/m m m'
_symmetry_Int_Tables_number 139
_symmetry_space_group_name_Hall '-I 4 2'
_cell_length_a 4.5219
_cell_length_b 4.5219
_cell_length_c 17.8233
_cell_angle_alpha 90.00
_cell_angle_beta 90.00
_cell_angle_gamma 90.00
loop_
_atom_site_label
_atom_site_fract_x
_atom_site_fract_y
_atom_site_fract_z
Gd1 0.0000 0.0000 0.0000
Tl1 0.0000 0.0000 0.2589
F1 0.0000 0.0000 0.1242
F2 0.0000 0.5000 0.0000
```

Summary:
The density of states at the Fermi level is 1.70 states/eV/f.u.

---

Compound: GdTm2F
Source: Alexandria
Functional: GGA-PBE
Structure: relaxed

The structure in CIF format:
```
data_GdTm2F
_chemical_formula_sum 'Gd3 Tm6 F3'
_symmetry_space_group_name_H-M 'R -3 m'
_symmetry_Int_Tables_number 166
_symmetry_space_group_name_Hall '-R 3 2"'
_cell_length_a 3.5690
_cell_length_b 3.5690
_cell_length_c 27.3963
_cell_angle_alpha 90.00
_cell_angle_beta 90.00
_cell_angle_gamma 120.00
loop_
_atom_site_label
_atom_site_fract_x
_atom_site_fract_y
_atom_site_fract_z
Gd1 0.0000 0.0000 0.0000
Tm1 0.0000 0.0000 0.1174
F1 0.0000 0.0000 0.5000
```

Summary:
The density of states at the Fermi level is 5.00 states/eV/f.u.

---

Compound: Gd2TmF
Source: Alexandria
Functional: GGA-PBE
Structure: relaxed

The structure in CIF format:
```
data_Gd2TmF
_chemical_formula_sum 'Gd6 Tm3 F3'
_symmetry_space_group_name_H-M 'R -3 m'
_symmetry_Int_Tables_number 166
_symmetry_space_group_name_Hall '-R 3 2"'
_cell_length_a 3.7049
_cell_length_b 3.7049
_cell_length_c 25.5767
_cell_angle_alpha 90.00
_cell_angle_beta 90.00
_cell_angle_gamma 120.00
loop_
_atom_site_label
_atom_site_fract_x
_atom_site_fract_y
_atom_site_fract_z
Gd1 0.0000 0.0000 0.2239
Tm1 0.0000 0.0000 0.0000
F1 0.0000 0.0000 0.5000
```

Summary:
The density of states at the Fermi level is 4.83 states/eV/f.u.

---

Compound: Gd3YF
Source: Alexandria
Functional: GGA-PBE
Structure: relaxed

The structure in CIF format:
```
data_Gd3YF
_chemical_formula_sum 'Gd3 Y1 F1'
_symmetry_space_group_name_H-M 'P m -3 m'
_symmetry_Int_Tables_number 221
_symmetry_space_group_name_Hall '-P 4 2 3'
_cell_length_a 5.1036
_cell_length_b 5.1036
_cell_length_c 5.1036
_cell_angle_alpha 90.00
_cell_angle_beta 90.00
_cell_angle_gamma 90.00
loop_
_atom_site_label
_atom_site_fract_x
_atom_site_fract_y
_atom_site_fract_z
Gd1 0.0000 0.0000 0.5000
Y1 0.5000 0.5000 0.5000
F1 0.0000 0.0000 0.0000
```

Summary:
The density of states at the Fermi level is 6.92 states/eV/f.u.

---

Compound: GdY3F
Source: Alexandria
Functional: GGA-PBE
Structure: relaxed

The structure in CIF format:
```
data_GdY3F
_chemical_formula_sum 'Gd1 Y3 F1'
_symmetry_space_group_name_H-M 'P m -3 m'
_symmetry_Int_Tables_number 221
_symmetry_space_group_name_Hall '-P 4 2 3'
_cell_length_a 5.0748
_cell_length_b 5.0748
_cell_length_c 5.0748
_cell_angle_alpha 90.00
_cell_angle_beta 90.00
_cell_angle_gamma 90.00
loop_
_atom_site_label
_atom_site_fract_x
_atom_site_fract_y
_atom_site_fract_z
Gd1 0.0000 0.0000 0.0000
Y1 0.0000 0.5000 0.5000
F1 0.5000 0.5000 0.5000
```

Summary:
The density of states at the Fermi level is 6.13 states/eV/f.u.

---

Compound: GeF
Source: Alexandria
Functional: GGA-PBE
Structure: relaxed

The structure in CIF format:
```
data_GeF
_chemical_formula_sum 'Ge6 F6'
_symmetry_space_group_name_H-M 'P m -3 n'
_symmetry_Int_Tables_number 223
_symmetry_space_group_name_Hall '-P 4n 2 3'
_cell_length_a 6.6944
_cell_length_b 6.6944
_cell_length_c 6.6944
_cell_angle_alpha 90.00
_cell_angle_beta 90.00
_cell_angle_gamma 90.00
loop_
_atom_site_label
_atom_site_fract_x
_atom_site_fract_y
_atom_site_fract_z
Ge1 0.0000 0.2500 0.5000
F1 0.0000 0.5000 0.2500
```

Summary:
The density of states at the Fermi level is 1.06 states/eV/f.u. Its energy above the most stable polymorph in this dataset is 883.0 meV/atom.

---

Compound: Ge3F8
Source: Alexandria
Functional: GGA-PBE
Structure: relaxed

The structure in CIF format:
```
data_Ge3F8
_chemical_formula_sum 'Ge6 F16'
_symmetry_space_group_name_H-M 'P 1 21/c 1'
_symmetry_Int_Tables_number 14
_symmetry_space_group_name_Hall '-P 2ybc'
_cell_length_a 5.3165
_cell_length_b 5.3116
_cell_length_c 12.5570
_cell_angle_alpha 90.00
_cell_angle_beta 112.05
_cell_angle_gamma 90.00
loop_
_atom_site_label
_atom_site_fract_x
_atom_site_fract_y
_atom_site_fract_z
Ge1 0.0000 0.0000 0.0000
Ge2 0.3869 0.1205 0.3310
F1 0.0241 0.0599 0.1476
F2 0.2277 0.7164 0.0522
F3 0.2920 0.1935 0.0213
F4 0.4104 0.0612 0.7535
```

Summary:
The density of states at the Fermi level is 0.00 states/eV/f.u.

---

Compound: GeF6
Source: Alexandria
Functional: GGA-PBE
Structure: relaxed

The structure in CIF format:
```
data_GeF6
_chemical_formula_sum 'Ge2 F12'
_symmetry_space_group_name_H-M 'I m -3 m'
_symmetry_Int_Tables_number 229
_symmetry_space_group_name_Hall '-I 4 2 3'
_cell_length_a 6.3050
_cell_length_b 6.3050
_cell_length_c 6.3050
_cell_angle_alpha 90.00
_cell_angle_beta 90.00
_cell_angle_gamma 90.00
loop_
_atom_site_label
_atom_site_fract_x
_atom_site_fract_y
_atom_site_fract_z
Ge1 0.0000 0.0000 0.0000
F1 0.0000 0.0000 0.2880
```

Summary:
The density of states at the Fermi level is 7.91 states/eV/f.u.

---

Compound: Ge7F16
Source: Alexandria
Functional: GGA-PBE
Structure: relaxed

The structure in CIF format:
```
data_Ge7F16
_chemical_formula_sum 'Ge28 F64'
_symmetry_space_group_name_H-M 'C 1 c 1'
_symmetry_Int_Tables_number 9
_symmetry_space_group_name_Hall 'C -2yc'
_cell_length_a 18.5529
_cell_length_b 7.7326
_cell_length_c 10.4203
_cell_angle_alpha 90.00
_cell_angle_beta 91.47
_cell_angle_gamma 90.00
loop_
_atom_site_label
_atom_site_fract_x
_atom_site_fract_y
_atom_site_fract_z
Ge1 0.0000 0.0504 0.0000
Ge2 0.0681 0.4399 0.6135
Ge3 0.1446 0.0964 0.2733
Ge4 0.2069 0.3399 0.9148
Ge5 0.2767 0.1907 0.5769
Ge6 0.3637 0.3667 0.2074
Ge7 0.4229 0.0723 0.8336
F1 0.9997 0.4941 0.4647
F2 0.0030 0.3960 0.2147
F3 0.0540 0.1236 0.4191
F4 0.0667 0.0073 0.1603
F5 0.1192 0.3572 0.0618
F6 0.1462 0.1374 0.8535
F7 0.1520 0.4797 0.8086
F8 0.1976 0.3187 0.5343
F9 0.2159 0.0085 0.6280
F10 0.2741 0.2763 0.7453
F11 0.2785 0.1004 0.4165
F12 0.3359 0.3701 0.5374
F13 0.3537 0.0563 0.6263
F14 0.4186 0.4773 0.8005
F15 0.4258 0.1776 0.2905
F16 0.4387 0.3599 0.0715
```

Summary:
The density of states at the Fermi level is 0.00 states/eV/f.u.

---

Compound: GeF
Source: Alexandria
Functional: GGA-PBE
Structure: relaxed

The structure in CIF format:
```
data_GeF
_chemical_formula_sum 'Ge4 F4'
_symmetry_space_group_name_H-M 'P 42/m n m'
_symmetry_Int_Tables_number 136
_symmetry_space_group_name_Hall '-P 4n 2n'
_cell_length_a 5.8066
_cell_length_b 5.8066
_cell_length_c 4.4012
_cell_angle_alpha 90.00
_cell_angle_beta 90.00
_cell_angle_gamma 90.00
loop_
_atom_site_label
_atom_site_fract_x
_atom_site_fract_y
_atom_site_fract_z
Ge1 0.1575 0.1575 0.0000
F1 0.2106 0.2106 0.5000
```

Summary:
The density of states at the Fermi level is 0.52 states/eV/f.u. Its energy above the most stable polymorph in this dataset is 533.7 meV/atom.

---

Compound: GeF
Source: Alexandria
Functional: GGA-PBE
Structure: relaxed

The structure in CIF format:
```
data_GeF
_chemical_formula_sum 'Ge4 F4'
_symmetry_space_group_name_H-M 'F -4 3 m'
_symmetry_Int_Tables_number 216
_symmetry_space_group_name_Hall 'F -4 2 3'
_cell_length_a 5.4559
_cell_length_b 5.4559
_cell_length_c 5.4559
_cell_angle_alpha 90.00
_cell_angle_beta 90.00
_cell_angle_gamma 90.00
loop_
_atom_site_label
_atom_site_fract_x
_atom_site_fract_y
_atom_site_fract_z
Ge1 0.0000 0.0000 0.0000
F1 0.2500 0.2500 0.2500
```

Summary:
The density of states at the Fermi level is 0.67 states/eV/f.u. Its energy above the most stable polymorph in this dataset is 791.7 meV/atom.

---

Magnetic moment values, unit Bohr magnetons per cell, following the record order: 7.21; 42.85; 21.43; 41.96; 7.00; 13.87; 43.02; 15.61; 42.79; 13.98; 24.17; 43.21; 21.52; 7.47; 0.00; 0.00; 4.00; 0.00; 0.00; 2.44.
Electronic total energy values, unit eV/atom, following the record order: -8.40; -9.80; -10.68; -10.07; -8.94; -8.41; -10.53; -9.17; -9.38; -6.47; -7.08; -9.75; -11.04; -7.98; -3.80; -4.86; -3.73; -4.88; -4.15; -3.90.